# MnReMo2 (GGA-PBE, optimized geometry)
data_MnReMo2
_cell_length_a 5.088
_cell_length_b 5.088
_cell_length_c 4.366
_cell_angle_alpha 64.61
_cell_angle_beta 64.61
_cell_angle_gamma 36.06
_space_group_name_H-M_alt 'P 1'
_space_group_IT_number 1
loop_
_space_group_symop_operation_xyz
'x,y,z'
loop_
_atom_site_label
_atom_site_type_symbol
_atom_site_fract_x
_atom_site_fract_y
_atom_site_fract_z
Mo1 Mo 0.498 0.498 0.502
Mo2 Mo 0.002 0.002 0.998
Re1 Re 0.750 0.750 0.750
Mn1 Mn 0.250 0.250 0.250
# Energy of formation: 0.075 eV/atom
# VASP energy: -10.745 eV/atom
# Space-group type: No. 71
# E above lowest polymorph: 0.006 eV per atom